This record from Alexandria describes a relaxed structure of NpHRu2Rh. The functional is PBE-GGA.

Structure (POSCAR):
```
NpHRu2Rh
1.0
4.094 0.000 0.000
0.000 4.094 0.000
0.000 0.000 3.953
Np H Ru Rh
1 1 2 1
Direct
0.000 0.000 0.000
0.500 0.500 0.500
0.000 0.500 0.500
0.500 0.000 0.500
0.500 0.500 0.000
```

Its total energy is -43.0 eV per formula unit.